RbSr2InPt: relaxed, PBE-GGA.

- Raw total energy: -2.982 eV per atom
- SG: P4/mmm (123)
- Calculated formation energy: -360.2 meV per atom

Cell lengths 6.041, 6.041, 5.365 Å; angles 90.00, 90.00, 90.00 degrees
Element x y z (fractional)
Rb  0.000  0.000  0.000
Sr  0.000  0.500  0.500
Sr  0.500  0.000  0.500
In  0.500  0.500  0.000
Pt  0.500  0.500  0.500

BHS2Cl: relaxed, PBE-GGA.

- ΔE to the lowest computed polymorph: 0.0000 eV/atom
- Raw total energy: -2.931 eV per atom
- SG: P4/mmm (123)

Cell lengths 4.055, 4.055, 4.740 Å; angles 90.00, 90.00, 90.00 degrees
Element x y z (fractional)
B  0.000  0.000  0.000
H  0.500  0.500  0.500
S  0.000  0.500  0.000
S  0.500  0.000  0.000
Cl  0.000  0.000  0.500

Pr2Fe2Co15: relaxed, PBE-GGA.

- Raw total energy: -7.055 eV per atom
- SG: R-3m (166)
- Calculated formation energy: -50.9 meV per atom

Cell lengths 6.336, 6.336, 6.336 Å; angles 83.26, 83.26, 83.26 degrees
Element x y z (fractional)
Pr  0.154  0.154  0.154
Pr  0.846  0.846  0.846
Fe  0.403  0.403  0.403
Fe  0.597  0.597  0.597
Co  0.000  0.500  0.500
Co  0.157  0.157  0.649
Co  0.157  0.649  0.157
Co  0.215  0.500  0.785
Co  0.215  0.785  0.500
Co  0.351  0.843  0.843
Co  0.500  0.000  0.500
Co  0.500  0.215  0.785
Co  0.500  0.500  0.000
Co  0.500  0.785  0.215
Co  0.649  0.157  0.157
Co  0.785  0.215  0.500
Co  0.785  0.500  0.215
Co  0.843  0.351  0.843
Co  0.843  0.843  0.351

GaCuHg2: relaxed, PBE-GGA.

- Raw total energy: -1.710 eV per atom
- SG: I-42d (122)
- Calculated formation energy: 221.8 meV per atom

Cell lengths 9.691, 9.691, 9.691 Å; angles 154.15, 154.15, 36.88 degrees
Element x y z (fractional)
Ga  0.000  0.000  0.000
Ga  0.750  0.250  0.500
Cu  0.250  0.750  0.500
Cu  0.500  0.500  0.000
Hg  0.140  0.625  0.015
Hg  0.375  0.390  0.515
Hg  0.610  0.125  0.985
Hg  0.875  0.860  0.485

Ca2C2Cl: relaxed, PBE-GGA.

- Raw total energy: -5.354 eV per atom
- SG: I4/mmm (139)
- Formation energy without anion corrections: -0.49 eV per atom

Cell lengths 5.150, 5.150, 5.150 Å; angles 124.79, 124.79, 81.89 degrees
Element x y z (fractional)
Ca  0.250  0.750  0.500
Ca  0.750  0.250  0.500
C  0.084  0.084  0.000
C  0.916  0.916  0.000
Cl  0.500  0.500  0.000

Li3Hf2Pt4: relaxed, PBE-GGA.

- Raw total energy: -6.367 eV per atom
- SG: C2/m (12)
- Calculated formation energy: -832.2 meV per atom

Cell lengths 4.510, 4.510, 8.474 Å; angles 94.29, 94.29, 57.35 degrees
Element x y z (fractional)
Li  0.000  0.000  0.000
Li  0.344  0.344  0.438
Li  0.656  0.656  0.562
Hf  0.332  0.332  0.785
Hf  0.668  0.668  0.215
Pt  0.005  0.005  0.336
Pt  0.333  0.333  0.110
Pt  0.667  0.667  0.890
Pt  0.995  0.995  0.664

For the records above, the corresponding magnetization values read 0.2; 0.8; 26.8; 0.0; 0.0; 0.0 μB/f.u..